First-principles (GGA-PBE) data for Na2NbH4 after structural relaxation, as listed in Alexandria via LeMat-Bulk.

Cell: 3.716 3.716 6.679 Å, 73.85 73.85 90.00°
Each line ends with the local moment (μB).
Positions (direct):
Na1 0.656 0.656 0.689  0.00
Na2 0.344 0.344 0.311  0.00
Nb1 0.000 0.000 0.000  0.12
H1 0.841 0.841 0.318  0.00
H2 0.159 0.159 0.682  0.00
H3 0.000 0.500 0.000  0.00
H4 0.500 0.000 0.000  0.00

Results
E in eV/atom: -3.7512
Total magnetization in Bohr magnetons per cell: 0.155